[1]
K2LiInBr4 | GGA-PBE | relaxed

Calculated values
The value obtained for the mass density is 3.2 Mg/m³. Its uncorrected formation energy is -1363 meV per atom. As for the final energy: -97.8 eV per cell.

a b c (Å): 9.1198 9.2616 12.8327
angles (deg): 90.00 90.00 90.00
Closest atoms and distances in Å follow each position.
Space group Imma (No. 74)
Symmetry-distinct sites (fractional):
K1 0.0000 0.0000 0.0000 (multiplicity 4)  6 Br 3.35-3.66
K2 0.2500 0.2500 0.2500 (multiplicity 4)  6 Br 3.20-3.26
Li1 0.0000 0.0000 0.5000 (multiplicity 4)  2 Br 2.76
In1 0.2500 0.2500 0.7500 (multiplicity 4)  6 Br 3.22-3.30
Br1 0.0000 0.0028 0.2849 (multiplicity 8)  1 Li 2.76
Br2 0.2350 0.2500 0.4991 (multiplicity 8)  2 Li 3.16, 3 K 3.20-3.35, 1 In 3.22

=====

[2]
NpFeSiC | GGA-PBE | relaxed

Calculated values
The value obtained for the mass density is 9.8 Mg/m³. Its uncorrected formation energy is -220 meV per atom. As for the final energy: -73.9 eV per cell.

a b c (Å): 3.6129 3.6129 8.6408
angles (deg): 90.00 90.00 90.00
Closest atoms and distances in Å follow each position.
Space group P4/nmm (No. 129, origin choice 2)
Symmetry-distinct sites (fractional):
Np1 0.2500 0.2500 0.1503 (multiplicity 2)  5 C 2.30-2.57
Fe1 0.2500 0.7500 0.5000 (multiplicity 2)  4 Si 2.32, 4 Fe 2.55
Si1 0.2500 0.2500 0.6688 (multiplicity 2)  1 C 1.86
C1 0.2500 0.2500 0.8839 (multiplicity 2)  1 Si 1.86

=====

Which of these has the highest final energy? NpFeSiC